(1)
## PuAl8Fe4 (GGA-PBE)

Data for a relaxed PuAl8Fe4 crystal.

Cell lengths 6.661, 6.661, 6.661 Å; angles 98.05, 98.05, 136.04 degrees
Element x y z (fractional)
Pu 0.000 0.000 0.000
Al 0.000 0.340 0.340
Al 0.000 0.660 0.660
Al 0.280 0.500 0.780
Al 0.340 0.000 0.340
Al 0.500 0.280 0.780
Al 0.500 0.720 0.220
Al 0.660 0.000 0.660
Al 0.720 0.500 0.220
Fe 0.000 0.000 0.500
Fe 0.000 0.500 0.000
Fe 0.500 0.000 0.000
Fe 0.500 0.500 0.500

Results
DOS at the Fermi energy: 1.384 states/eV/atom
DFT formation energy: -0.356 eV/atom
energy: -6.365 eV per atom
volume: 190.2 Å³ per cell



(2)
## FeTeMo2 (GGA-PBE)

Data for a relaxed FeTeMo2 crystal.

Cell lengths 4.939, 4.939, 4.632 Å; angles 108.18, 108.18, 37.02 degrees
Element x y z (fractional)
Fe 0.000 0.000 0.000
Te 0.266 0.266 0.671
Mo 0.510 0.510 0.464
Mo 0.727 0.727 0.128

Results
DOS at the Fermi energy: 1.050 states/eV/atom
E above lowest polymorph: 64.6 meV per atom
energy: -7.933 eV per atom
volume: 64.2 Å³ per cell
energy relative to the elements, uncorrected: 0.38 eV/atom



(3)
## CuIr3O (GGA-PBE)

Data for a relaxed CuIr3O crystal.

Cell lengths 4.520, 4.520, 4.520 Å; angles 90.00, 90.00, 90.00 degrees
Element x y z (fractional)
Cu 0.000 0.000 0.000
Ir 0.000 0.000 0.500
Ir 0.000 0.500 0.000
Ir 0.500 0.000 0.000
O 0.500 0.500 0.500

Results
DOS at the Fermi energy: 1.215 states/eV/atom
E above lowest polymorph: 1508.2 meV per atom
energy: -4.781 eV per atom
volume: 92.3 Å³ per cell
energy relative to the elements, uncorrected: 2.35 eV/atom



(4)
## LiAcZnRu (GGA-PBE)

Data for a relaxed LiAcZnRu crystal.

Cell lengths 4.855, 4.855, 4.855 Å; angles 60.00, 60.00, 60.00 degrees
Element x y z (fractional)
Li 0.000 0.000 0.000
Ac 0.750 0.750 0.750
Zn 0.250 0.250 0.250
Ru 0.500 0.500 0.500

Results
DOS at the Fermi energy: 0.553 states/eV/atom
DFT formation energy: 0.050 eV/atom
energy: -4.093 eV per atom
volume: 80.9 Å³ per cell



(5)
## PaHgSeO5 (GGA-PBE)

Data for a relaxed PaHgSeO5 crystal.

Cell lengths 6.239, 6.239, 8.294 Å; angles 105.81, 105.81, 102.16 degrees
Element x y z (fractional)
Pa 0.000 0.500 0.000
Pa 0.500 0.000 0.500
Hg 0.062 0.938 0.750
Hg 0.938 0.062 0.250
Se 0.457 0.543 0.750
Se 0.543 0.457 0.250
O 0.180 0.260 0.060
O 0.243 0.757 0.250
O 0.260 0.180 0.560
O 0.285 0.599 0.876
O 0.401 0.715 0.624
O 0.599 0.285 0.376
O 0.715 0.401 0.124
O 0.740 0.820 0.440
O 0.757 0.243 0.750
O 0.820 0.740 0.940

Results
DOS at the Fermi energy: 0.223 states/eV/atom
energy: -6.416 eV per atom
volume: 284.4 Å³ per cell
energy relative to the elements, uncorrected: -1.66 eV/atom



(6)
## Ac3Pb5Se12 (GGA-PBE)

Data for a relaxed Ac3Pb5Se12 crystal.

Cell lengths 15.199, 15.199, 15.199 Å; angles 109.47, 109.47, 109.47 degrees
Element x y z (fractional)
Ac 0.125 0.250 0.375
Ac 0.125 0.375 0.750
Ac 0.250 0.375 0.125
Ac 0.250 0.875 0.625
Ac 0.375 0.125 0.250
Ac 0.375 0.750 0.125
Ac 0.625 0.250 0.875
Ac 0.625 0.875 0.750
Ac 0.750 0.125 0.375
Ac 0.750 0.625 0.875
Ac 0.875 0.625 0.250
Ac 0.875 0.750 0.625
Pb 0.000 0.000 0.000
Pb 0.000 0.000 0.500
Pb 0.000 0.500 0.000
Pb 0.000 0.500 0.500
Pb 0.125 0.750 0.875
Pb 0.125 0.875 0.250
Pb 0.250 0.125 0.875
Pb 0.250 0.625 0.375
Pb 0.375 0.250 0.625
Pb 0.375 0.625 0.750
Pb 0.500 0.000 0.000
Pb 0.500 0.000 0.500
Pb 0.500 0.500 0.000
Pb 0.500 0.500 0.500
Pb 0.625 0.375 0.250
Pb 0.625 0.750 0.375
Pb 0.750 0.375 0.625
Pb 0.750 0.875 0.125
Pb 0.875 0.125 0.750
Pb 0.875 0.250 0.125
Se 0.048 0.222 0.136
Se 0.048 0.327 0.913
Se 0.086 0.722 0.673
Se 0.086 0.864 0.413
Se 0.087 0.636 0.414
Se 0.087 0.952 0.673
Se 0.136 0.048 0.222
Se 0.136 0.587 0.914
Se 0.173 0.222 0.586
Se 0.173 0.452 0.587
Se 0.222 0.136 0.048
Se 0.222 0.586 0.173
Se 0.278 0.327 0.914
Se 0.278 0.452 0.364
Se 0.327 0.913 0.048
Se 0.327 0.914 0.278
Se 0.364 0.278 0.452
Se 0.364 0.586 0.913
Se 0.413 0.086 0.864
Se 0.413 0.827 0.548
Se 0.414 0.087 0.636
Se 0.414 0.827 0.778
Se 0.452 0.364 0.278
Se 0.452 0.587 0.173
Se 0.548 0.413 0.827
Se 0.548 0.636 0.722
Se 0.586 0.173 0.222
Se 0.586 0.913 0.364
Se 0.587 0.173 0.452
Se 0.587 0.914 0.136
Se 0.636 0.414 0.087
Se 0.636 0.722 0.548
Se 0.673 0.086 0.722
Se 0.673 0.087 0.952
Se 0.722 0.548 0.636
Se 0.722 0.673 0.086
Se 0.778 0.414 0.827
Se 0.778 0.864 0.952
Se 0.827 0.548 0.413
Se 0.827 0.778 0.414
Se 0.864 0.413 0.086
Se 0.864 0.952 0.778
Se 0.913 0.048 0.327
Se 0.913 0.364 0.586
Se 0.914 0.136 0.587
Se 0.914 0.278 0.327
Se 0.952 0.673 0.087
Se 0.952 0.778 0.864

Results
DOS at the Fermi energy: 0.498 states/eV/atom
energy: -4.540 eV per atom
volume: 2702.8 Å³ per cell
energy relative to the elements, uncorrected: -0.91 eV/atom



(7)
## MnAg2Os (GGA-PBE)

Data for a relaxed MnAg2Os crystal.

Cell lengths 4.408, 4.408, 4.408 Å; angles 60.00, 60.00, 60.00 degrees
Element x y z (fractional)
Mn 0.000 0.000 0.000
Ag 0.250 0.250 0.250
Ag 0.750 0.750 0.750
Os 0.500 0.500 0.500

Results
DOS at the Fermi energy: 1.393 states/eV/atom
E above lowest polymorph: 815.8 meV per atom
DFT formation energy: 1.145 eV/atom
energy: -5.381 eV per atom
volume: 60.5 Å³ per cell



(8)
## Ca6Fe7 (GGA-PBE)

Data for a relaxed Ca6Fe7 crystal.

Cell lengths 11.972, 11.972, 11.972 Å; angles 25.68, 25.68, 25.68 degrees
Element x y z (fractional)
Ca 0.060 0.060 0.060
Ca 0.153 0.153 0.153
Ca 0.358 0.358 0.358
Ca 0.642 0.642 0.642
Ca 0.847 0.847 0.847
Ca 0.940 0.940 0.940
Fe 0.136 0.591 0.591
Fe 0.409 0.409 0.864
Fe 0.409 0.864 0.409
Fe 0.500 0.500 0.500
Fe 0.591 0.136 0.591
Fe 0.591 0.591 0.136
Fe 0.864 0.409 0.409

Results
DOS at the Fermi energy: 1.194 states/eV/atom
DFT formation energy: 0.358 eV/atom
energy: -5.123 eV per atom
volume: 283.7 Å³ per cell



(9)
## Ho3Tm3Co2 (GGA-PBE)

Data for a relaxed Ho3Tm3Co2 crystal.

Cell lengths 6.723, 6.723, 17.908 Å; angles 90.00, 90.00, 149.05 degrees
Element x y z (fractional)
Ho 0.064 0.936 0.587
Ho 0.064 0.936 0.913
Ho 0.274 0.726 0.750
Ho 0.726 0.274 0.250
Ho 0.936 0.064 0.087
Ho 0.936 0.064 0.413
Tm 0.323 0.677 0.565
Tm 0.323 0.677 0.935
Tm 0.450 0.550 0.250
Tm 0.550 0.450 0.750
Tm 0.677 0.323 0.065
Tm 0.677 0.323 0.435
Co 0.302 0.698 0.142
Co 0.302 0.698 0.358
Co 0.698 0.302 0.642
Co 0.698 0.302 0.858

Results
DOS at the Fermi energy: 1.035 states/eV/atom
DFT formation energy: -0.087 eV/atom
energy: -5.257 eV per atom
volume: 416.4 Å³ per cell



(10)
## Sr2LaSbO (GGA-PBE)

Data for a relaxed Sr2LaSbO crystal.

Cell lengths 5.121, 5.121, 5.043 Å; angles 90.00, 90.00, 90.00 degrees
Element x y z (fractional)
Sr 0.000 0.500 0.000
Sr 0.500 0.000 0.000
La 0.000 0.000 0.500
Sb 0.500 0.500 0.500
O 0.000 0.000 0.000

Results
DOS at the Fermi energy: 0.720 states/eV/atom
energy: -4.959 eV per atom
volume: 132.2 Å³ per cell
energy relative to the elements, uncorrected: -1.48 eV/atom